Entry from Alexandria: a relaxed structure of MoOsW2 (GGA-PBE).

Summary:
SG	P2/m, No. 10

POSCAR file:
```
MoOsW2
1.0
4.423 0.000 0.000
0.000 2.755 -0.002
0.000 0.926 5.141
Mo Os W
1 1 2
direct
0.500 0.250 0.250
0.500 0.750 0.750
0.000 0.020 0.000
0.000 0.480 0.500
```

Entry from Alexandria: a relaxed structure of LaNb2Pt2 (GGA-PBE).

Summary:
SG	I4/mmm, No. 139

POSCAR file:
```
LaNb2Pt2
1.0
-4.314 0.520 2.246
-2.058 -3.017 -3.254
-2.187 -4.915 2.264
Nb Pt La
2 2 1
direct
0.358 0.358 0.283
0.642 0.642 0.717
0.750 0.250 0.500
0.250 0.750 0.500
0.000 0.000 0.000
```

Computed ΔE_f, in the same sequence as the records: 13.88 -29.57 kJ/mol of atoms.
Computed magnetization, in the same sequence as the records: 0.00 0.00 μB/cell.
Computed Fermi-level density of states, in the same sequence as the records: 0.979 1.399 states/eV per atom.